{
  "formula": "Mn2InNiO4",
  "functional": "GGA+U",
  "state": "optimized geometry",
  "final_energy_ev_per_atom": -6.22,
  "cell": [[-0.9850, -0.3104, -4.6591], [4.0957, -2.3453, -0.7059], [-3.9232, -3.0456, 3.4744]],
  "species": ["O", "O", "O", "O", "In", "Mn", "Mn", "Ni"],
  "frac_coords": [[0.1164, 0.1164, 0.7486], [0.8796, 0.3717, 0.2514], [0.3717, 0.8796, 0.2514], [0.6322, 0.6322, 0.7486], [0.4988, 0.4988, 0.9976], [0.2493, 0.7493, 0.4985], [0.7493, 0.2493, 0.4985], [0.0030, 0.0030, 0.0060]]
}